Entry i
{
  "formula": "NdInB4",
  "functional": "PBE",
  "state": "optimized geometry",
  "lattice_angstrom": [[-1.629, 2.699, 4.275], [1.629, -2.699, 4.275], [1.629, 2.699, -4.275]],
  "species": ["Nd", "In", "B", "B", "B", "B"],
  "frac_coords": [[0.000, 0.000, 0.000], [0.500, 0.500, 0.000], [0.067, 0.741, 0.326], [0.415, 0.741, 0.674], [0.585, 0.259, 0.326], [0.933, 0.259, 0.674]]
}

=====

Entry ii
{
  "formula": "NdInB4",
  "functional": "PBE",
  "state": "optimized geometry",
  "lattice_angstrom": [[3.235, 0.000, 0.000], [-1.618, 2.802, 0.000], [0.000, 0.000, 8.020]],
  "species": ["Nd", "In", "B", "B", "B", "B"],
  "frac_coords": [[0.000, 0.000, 0.000], [0.000, 0.000, 0.500], [0.333, 0.667, 0.264], [0.333, 0.667, 0.736], [0.667, 0.333, 0.264], [0.667, 0.333, 0.736]]
}

=====

Taking the most stable structure as the zero point, the relative energies in kJ/mol of atoms are entry i 0.0; entry ii 14.5.